No. 1
! PBE RbCuSbSe2, relaxed; values from VASP
! * total magnetization: 0.0000 μB per atom
! * calculated total energy: -3.633 eV per atom
! * energy relative to the elements, uncorrected: -0.40 eV/atom
&SYSTEM
  ibrav = 0, nat = 10, ntyp = 4
/
ATOMIC_SPECIES
Rb 85.47 Rb.upf
Cu 63.55 Cu.upf
Sb 121.76 Sb.upf
Se 78.96 Se.upf
CELL_PARAMETERS angstrom
7.9443 0.0000 0.0000
0.0000 4.0148 0.0000
-0.0246 0.0000 8.8399
ATOMIC_POSITIONS angstrom
Rb -0.0062 0.0163 2.2100
Rb -0.0185 3.9985 6.6299
Cu 3.9722 0.0000 0.0000
Cu 3.9598 0.0000 4.4199
Sb 3.9660 2.0088 2.2100
Sb 3.9537 2.0060 6.6299
Se 2.0973 1.6039 8.8342
Se 2.1096 2.4110 4.4143
Se 5.8101 1.6039 4.4255
Se 5.8224 2.4110 0.0056



No. 2
! PBE RbCu2SbSe4, relaxed; values from VASP
! * total magnetization: 0.0000 μB per atom
! * calculated total energy: -3.760 eV per atom
! * energy relative to the elements, uncorrected: -0.36 eV/atom
&SYSTEM
  ibrav = 0, nat = 8, ntyp = 4
/
ATOMIC_SPECIES
Rb 85.47 Rb.upf
Cu 63.55 Cu.upf
Sb 121.76 Sb.upf
Se 78.96 Se.upf
CELL_PARAMETERS angstrom
-3.2759 4.2123 4.5702
3.2759 -4.2123 4.5702
3.2759 4.2123 -4.5702
ATOMIC_POSITIONS angstrom
Rb 0.0000 0.0000 0.0000
Cu 3.2759 0.0000 3.2396
Cu 0.0000 4.2123 1.3305
Sb 0.0000 0.0000 4.5702
Se 1.7837 2.7789 -1.4945
Se 1.4923 -1.4334 6.0647
Se 1.4923 1.4334 3.0757
Se 1.7837 5.6457 1.4945



No. 3
! PBE RbTbCu2Sb2, relaxed; values from VASP
! * total magnetization: 0.0000 μB per atom
! * calculated total energy: -4.228 eV per atom
! * energy relative to the elements, uncorrected: -0.56 eV/atom
&SYSTEM
  ibrav = 0, nat = 6, ntyp = 4
/
ATOMIC_SPECIES
Rb 85.47 Rb.upf
Tb 158.93 Tb.upf
Cu 63.55 Cu.upf
Sb 121.76 Sb.upf
CELL_PARAMETERS angstrom
4.4754 0.0000 0.0000
-2.2377 3.8758 0.0000
0.0000 0.0000 9.4610
ATOMIC_POSITIONS angstrom
Rb 0.0000 0.0000 0.0000
Tb 0.0000 0.0000 4.7305
Cu 0.0000 2.5839 3.0597
Cu 2.2377 1.2919 6.4013
Sb 0.0000 2.5839 6.6874
Sb 2.2377 1.2919 2.7736



No. 4
! PBE RbCu2SbTe4, relaxed; values from VASP
! * total magnetization: 0.0000 μB per atom
! * calculated total energy: -3.399 eV per atom
! * energy relative to the elements, uncorrected: -0.17 eV/atom
&SYSTEM
  ibrav = 0, nat = 8, ntyp = 4
/
ATOMIC_SPECIES
Rb 85.47 Rb.upf
Cu 63.55 Cu.upf
Sb 121.76 Sb.upf
Te 127.60 Te.upf
CELL_PARAMETERS angstrom
-3.5112 4.5072 4.7194
3.5112 -4.5072 4.7194
3.5112 4.5072 -4.7194
ATOMIC_POSITIONS angstrom
Rb 0.0000 0.0000 0.0000
Cu 3.5112 0.0000 3.4002
Cu 0.0000 4.5072 1.3192
Sb 0.0000 0.0000 4.7194
Te 1.8694 2.9129 -1.5892
Te 1.6418 -1.5942 6.3086
Te 1.6418 1.5942 3.1303
Te 1.8694 6.1014 1.5892



No. 5
! PBE RbCuSbTe2, relaxed; values from VASP
! * total magnetization: 0.0000 μB per atom
! * calculated total energy: -3.152 eV per atom
! * energy relative to the elements, uncorrected: -0.06 eV/atom
&SYSTEM
  ibrav = 0, nat = 5, ntyp = 4
/
ATOMIC_SPECIES
Rb 85.47 Rb.upf
Cu 63.55 Cu.upf
Sb 121.76 Sb.upf
Te 127.60 Te.upf
CELL_PARAMETERS angstrom
5.5612 0.0000 0.0000
0.0000 5.5612 0.0000
0.0000 0.0000 5.0294
ATOMIC_POSITIONS angstrom
Rb 0.0000 0.0000 0.0000
Cu 2.7806 2.7806 2.5147
Sb 2.7806 2.7806 0.0000
Te 0.0000 2.7806 2.5147
Te 2.7806 0.0000 2.5147



No. 6
! PBE RbCuSbTe2, relaxed; values from VASP
! * total magnetization: 0.0001 μB per atom
! * calculated total energy: -1.639 eV per atom
! * energy relative to the elements, uncorrected: 1.45 eV/atom
&SYSTEM
  ibrav = 0, nat = 5, ntyp = 4
/
ATOMIC_SPECIES
Rb 85.47 Rb.upf
Cu 63.55 Cu.upf
Sb 121.76 Sb.upf
Te 127.60 Te.upf
CELL_PARAMETERS angstrom
6.2558 0.0000 0.0000
0.0000 6.2558 0.0000
0.0000 0.0000 6.0964
ATOMIC_POSITIONS angstrom
Rb 0.0000 0.0000 0.0000
Cu 3.1279 3.1279 3.0482
Sb 0.0000 0.0000 3.0482
Te 0.0000 3.1279 0.0000
Te 3.1279 0.0000 0.0000



No. 7
! PBE RbCuSbTe3, relaxed; values from VASP
! * total magnetization: 0.0000 μB per atom
! * calculated total energy: -3.457 eV per atom
! * energy relative to the elements, uncorrected: -0.36 eV/atom
&SYSTEM
  ibrav = 0, nat = 12, ntyp = 4
/
ATOMIC_SPECIES
Rb 85.47 Rb.upf
Cu 63.55 Cu.upf
Sb 121.76 Sb.upf
Te 127.60 Te.upf
CELL_PARAMETERS angstrom
10.3029 0.0000 0.0000
0.0000 4.2984 0.0000
-3.9268 0.0000 9.6381
ATOMIC_POSITIONS angstrom
Rb 1.6312 1.0746 1.9408
Rb 4.7450 3.2238 7.6973
Cu 0.7746 3.2238 8.9883
Cu 5.6015 1.0746 0.6498
Sb -1.1384 1.0746 6.4346
Sb 7.5146 3.2238 3.2035
Te -1.8493 3.2238 8.4616
Te -0.0817 3.2238 4.5264
Te 1.6686 1.0746 7.6898
Te 4.7075 3.2238 1.9483
Te 6.4578 1.0746 5.1117
Te 8.2254 1.0746 1.1765



No. 8
! PBE RbCuSbTe2, relaxed; values from VASP
! * total magnetization: 0.0000 μB per atom
! * calculated total energy: -3.349 eV per atom
! * energy relative to the elements, uncorrected: -0.26 eV/atom
&SYSTEM
  ibrav = 0, nat = 10, ntyp = 4
/
ATOMIC_SPECIES
Rb 85.47 Rb.upf
Cu 63.55 Cu.upf
Sb 121.76 Sb.upf
Te 127.60 Te.upf
CELL_PARAMETERS angstrom
8.1159 0.0000 0.0000
0.0000 5.7150 0.0000
-1.1294 0.0000 8.0033
ATOMIC_POSITIONS angstrom
Rb -0.2823 1.2327 2.0008
Rb -0.8470 4.4822 6.0025
Cu 4.0579 0.0000 0.0000
Cu 3.4933 0.0000 4.0016
Sb 3.7756 1.9023 2.0008
Sb 3.2109 3.8126 6.0025
Te 1.2353 1.6499 7.2596
Te 1.8000 4.0651 3.2580
Te 5.1865 1.6499 4.7453
Te 5.7512 4.0651 0.7437



No. 9
! PBE Rb2Cu2SbTe4, relaxed; values from VASP
! * total magnetization: 0.0000 μB per atom
! * calculated total energy: -3.387 eV per atom
! * energy relative to the elements, uncorrected: -0.41 eV/atom
&SYSTEM
  ibrav = 0, nat = 9, ntyp = 4
/
ATOMIC_SPECIES
Rb 85.47 Rb.upf
Cu 63.55 Cu.upf
Sb 121.76 Sb.upf
Te 127.60 Te.upf
CELL_PARAMETERS angstrom
4.3042 0.0000 0.0000
-2.0707 7.2875 0.0000
-0.0954 -3.7606 9.6302
ATOMIC_POSITIONS angstrom
Rb 0.0150 1.7852 1.5966
Rb 2.1232 1.7417 8.0336
Cu -0.0809 -1.4341 7.0222
Cu 2.2191 4.9609 2.6080
Sb 2.1044 -1.8803 4.8151
Te -0.0392 0.3626 5.2041
Te 0.0658 5.8436 1.5612
Te 2.0724 -2.3168 8.0690
Te 2.1774 3.1643 4.4261



No. 10
! PBE RbCuSb2Te4, relaxed; values from VASP
! * total magnetization: 0.0000 μB per atom
! * calculated total energy: -3.516 eV per atom
! * energy relative to the elements, uncorrected: -0.28 eV/atom
&SYSTEM
  ibrav = 0, nat = 16, ntyp = 4
/
ATOMIC_SPECIES
Rb 85.47 Rb.upf
Cu 63.55 Cu.upf
Sb 121.76 Sb.upf
Te 127.60 Te.upf
CELL_PARAMETERS angstrom
2.2304 -7.4983 0.0000
2.2304 7.4983 0.0000
0.0000 0.0000 16.1873
ATOMIC_POSITIONS angstrom
Rb 2.2304 5.9420 12.1404
Rb 2.2304 -5.9420 4.0468
Cu 2.2304 4.9662 4.0468
Cu 2.2304 -4.9662 12.1404
Sb 2.2304 2.0187 9.0267
Sb 2.2304 2.0187 15.2542
Sb 2.2304 -2.0187 0.9331
Sb 2.2304 -2.0187 7.1605
Te 0.0000 0.0000 0.0000
Te 0.0000 0.0000 8.0936
Te 2.2304 3.5442 1.7245
Te 2.2304 3.5442 6.3692
Te 2.2304 1.3027 12.1404
Te 2.2304 -1.3027 4.0468
Te 2.2304 -3.5442 9.8181
Te 2.2304 -3.5442 14.4628



No. 11
! PBE RbTl2CuSb, relaxed; values from VASP
! * total magnetization: 0.0000 μB per atom
! * calculated total energy: -2.761 eV per atom
! * energy relative to the elements, uncorrected: 0.02 eV/atom
&SYSTEM
  ibrav = 0, nat = 5, ntyp = 4
/
ATOMIC_SPECIES
Rb 85.47 Rb.upf
Tl 204.38 Tl.upf
Cu 63.55 Cu.upf
Sb 121.76 Sb.upf
CELL_PARAMETERS angstrom
5.5752 0.0000 0.0000
0.0000 5.5752 0.0000
0.0000 0.0000 5.1865
ATOMIC_POSITIONS angstrom
Rb 0.0000 0.0000 0.0000
Tl 0.0000 2.7876 2.5932
Tl 2.7876 0.0000 2.5932
Cu 2.7876 2.7876 2.5932
Sb 2.7876 2.7876 0.0000



No. 12
! PBE RbTmCu2Sb2, relaxed; values from VASP
! * total magnetization: 0.0000 μB per atom
! * calculated total energy: -4.180 eV per atom
! * energy relative to the elements, uncorrected: -0.53 eV/atom
&SYSTEM
  ibrav = 0, nat = 6, ntyp = 4
/
ATOMIC_SPECIES
Rb 85.47 Rb.upf
Tm 168.93 Tm.upf
Cu 63.55 Cu.upf
Sb 121.76 Sb.upf
CELL_PARAMETERS angstrom
4.4610 0.0000 0.0000
-2.2305 3.8634 0.0000
0.0000 0.0000 9.3595
ATOMIC_POSITIONS angstrom
Rb 0.0000 0.0000 0.0000
Tm 0.0000 0.0000 4.6797
Cu 0.0000 2.5756 3.1539
Cu 2.2305 1.2878 6.2056
Sb 0.0000 2.5756 6.6012
Sb 2.2305 1.2878 2.7583



> Number 10 is which compound?

RbCuSb2Te4



> Number 8 is which compound?

RbCuSbTe2